A PBEsol-optimized structure of Mg2BeSi, computed with meta-GGA SCAN.

Space group: Cm
Total magnetization (μB/f.u.): 0.0
Total DFT energy (no corrections) (eV/atom): -5.85
DOS at the Fermi energy (states/eV/cell): 1.3
Uncorrected formation energy (eV/atom): 0.233
Polymorph energy (0 for the lowest one) (eV per atom): 0.001

```
Mg2BeSi
1.0
5.0234 -1.4053 0.0000
5.0234 1.4053 0.0000
-1.4803 0.0000 4.5741
Mg Be Si
2 1 1
Direct
0.0000 0.0000 0.0000 Mg
0.2036 0.2036 0.6474 Mg
0.7557 0.7557 0.1602 Be
0.4356 0.4356 0.4572 Si
```


A PBEsol-optimized structure of Mg2TiBeSi, computed with meta-GGA SCAN.

Space group: P4/mmm
Total magnetization (μB/f.u.): 0.0
Total DFT energy (no corrections) (eV/atom): -7.39
DOS at the Fermi energy (states/eV/cell): 2.8
Uncorrected formation energy (eV/atom): 0.678

```
Mg2TiBeSi
1.0
4.7691 0.0000 0.0000
0.0000 4.7691 0.0000
0.0000 0.0000 4.7320
Mg Ti Be Si
2 1 1 1
Direct
0.0000 0.5000 0.0000 Mg
0.5000 0.0000 0.0000 Mg
0.0000 0.0000 0.5000 Ti
0.5000 0.5000 0.5000 Be
0.0000 0.0000 0.0000 Si
```


A PBEsol-optimized structure of YMgBeSi2, computed with meta-GGA SCAN.

Space group: P4/mmm
Total magnetization (μB/f.u.): 0.0
Total DFT energy (no corrections) (eV/atom): -10.23
DOS at the Fermi energy (states/eV/cell): 2.2
Uncorrected formation energy (eV/atom): 1.207

```
YMgBeSi2
1.0
4.6936 0.0000 0.0000
0.0000 4.6936 0.0000
0.0000 0.0000 5.3697
Y Mg Be Si
1 1 1 2
Direct
0.0000 0.0000 0.0000 Y
0.0000 0.0000 0.5000 Mg
0.5000 0.5000 0.0000 Be
0.0000 0.5000 0.5000 Si
0.5000 0.0000 0.5000 Si
```


A PBEsol-optimized structure of MgZrBe2Si, computed with meta-GGA SCAN.

Space group: P4/mmm
Total magnetization (μB/f.u.): 0.9
Total DFT energy (no corrections) (eV/atom): -9.03
DOS at the Fermi energy (states/eV/cell): 3.8
Uncorrected formation energy (eV/atom): 1.853

```
MgZrBe2Si
1.0
4.6008 0.0000 0.0000
0.0000 4.6008 0.0000
0.0000 0.0000 5.3701
Mg Zr Be Si
1 1 2 1
Direct
0.0000 0.0000 0.0000 Mg
0.0000 0.0000 0.5000 Zr
0.0000 0.5000 0.5000 Be
0.5000 0.0000 0.5000 Be
0.5000 0.5000 0.0000 Si
```